Compound: CsNaHf3
Source: the Alexandria database
Functional: PBE
Structure: optimized geometry

Cell and atoms, written as POSCAR:
```
CsNaHf3
1.0
5.310 0.000 0.000
0.000 5.310 0.000
0.000 0.000 5.310
Na Hf Cs
1 3 1
direct
0.000 0.000 0.000
0.000 0.000 0.500
0.500 0.000 0.000
0.000 0.500 0.000
0.500 0.500 0.500
```

Results
Offset from the most stable computed form = 0 meV/atom
Space group = Pm-3m, No. 221